KAg2Br: single point on PBEsol structure, SCAN.

The density of states at the Fermi level is 0.1869 states/eV/atom. The value obtained for the energy relative to the lowest polymorph listed for this composition is 40 meV per atom. The calculation puts the energy relative to the elements, uncorrected at -0.337 eV per atom. The calculation puts the total moment at 0.0 μB/f.u.

The structure belongs to space group I4/mmm (No. 139); the cell edges are 4.103, 4.103 and 12.385 Å and the angles 90.00°, 90.00° and 90.00°. The asymmetric unit holds K at (0.000, 0.000, 0.000), Ag at (0.000, 0.500, 0.250) and Br at (0.000, 0.000, 0.500).